Record 1
A relaxed structure of BaV2SiNi. Source: Alexandria, functional GGA-PBE.

Properties
Symmetry   P4/mmm (123)
ρ   3.98 g cm⁻³
Raw formation energy   1027 meV/atom

POSCAR file:
```
BaV2SiNi
1.0
4.717 0.000 0.000
0.000 6.115 0.000
0.000 0.000 4.717
Ni Si Ba V
1 1 1 2
direct
0.500 0.500 0.500
0.000 0.000 0.000
0.000 0.500 0.000
0.000 0.000 0.500
0.500 0.000 0.000
```

***

Record 2
A relaxed structure of Tb6Y12Mg. Source: Alexandria, functional GGA-PBE.

Properties
Distance to the lowest polymorph of the same formula   21 meV/atom
Symmetry   R-3m (166)
ρ   5.40 g cm⁻³

POSCAR file:
```
Tb6Y12Mg
1.0
-1.557 2.774 -8.040
-4.164 -7.552 -0.616
-6.309 4.417 3.929
Tb Y Mg
6 12 1
direct
0.136 0.136 0.408
0.864 0.592 0.864
0.592 0.864 0.864
0.864 0.864 0.592
0.136 0.408 0.136
0.408 0.136 0.136
0.588 0.167 0.588
0.167 0.588 0.588
0.588 0.588 0.167
0.412 0.833 0.412
0.833 0.412 0.412
0.412 0.412 0.833
0.262 0.000 0.738
0.262 0.738 0.000
0.000 0.262 0.738
0.738 0.000 0.262
0.738 0.262 0.000
0.000 0.738 0.262
0.000 0.000 0.000
```

***

Record 3
A relaxed structure of LiTmCoSb. Source: Alexandria, functional GGA-PBE.

Properties
Symmetry   F-43m (216)
ρ   8.93 g cm⁻³
Raw formation energy   -523 meV/atom

POSCAR file:
```
LiTmCoSb
1.0
4.544 0.000 0.000
2.272 3.935 0.000
2.272 1.312 3.710
Sb Tm Co Li
1 1 1 1
direct
0.250 0.250 0.250
0.750 0.750 0.750
0.500 0.500 0.500
0.000 0.000 0.000
```

***

Record 4
A relaxed structure of BiS2ClO. Source: Alexandria, functional GGA-PBE.

Properties
Distance to the lowest polymorph of the same formula   0 meV/atom
Symmetry   P4/mmm (123)
ρ   6.02 g cm⁻³
Raw formation energy   394 meV/atom

POSCAR file:
```
BiS2ClO
1.0
-1.661 -1.877 3.695
4.023 0.227 1.923
-1.002 4.066 1.615
S Bi O Cl
2 1 1 1
direct
0.000 0.500 0.000
0.500 0.000 0.000
0.500 0.500 0.500
0.000 0.000 0.000
0.000 0.000 0.500
```

***

Record 5
A relaxed structure of GaSn2Pd. Source: Alexandria, functional GGA-PBE.

Properties
E   -4.26 eV/atom
Symmetry   P4/mmm (123)
ρ   8.04 g cm⁻³

POSCAR file:
```
GaSn2Pd
1.0
3.273 0.000 0.000
0.000 3.273 0.000
0.000 0.000 7.977
Ga Sn Pd
1 2 1
direct
0.500 0.500 0.500
0.000 0.000 0.782
0.000 0.000 0.218
0.500 0.500 0.000
```

***

Record 6
A relaxed structure of CeGa2SiPd4. Source: Alexandria, functional GGA-PBE.

Properties
Symmetry   R-3m (166)
ρ   8.72 g cm⁻³
Raw formation energy   -645 meV/atom

POSCAR file:
```
CeGa2SiPd4
1.0
4.332 0.000 0.000
2.166 3.751 0.000
2.166 1.250 8.590
Ce Ga Si Pd
1 2 1 4
direct
0.000 0.000 0.000
0.750 0.750 0.751
0.250 0.250 0.249
0.500 0.500 0.500
0.406 0.406 0.781
0.862 0.862 0.415
0.138 0.138 0.585
0.594 0.594 0.219
```